Density functional theory data (PBE) for a relaxed structure of LaZnAgPd.

Geometry as POSCAR:
```
LaZnAgPd
1.0
2.2811 1.3170 4.8695
-2.2811 1.3170 4.8695
0.0000 -2.6340 4.8695
La Zn Ag Pd
1 1 1 1
direct
0.0000 0.0000 0.0000
0.4831 0.4831 0.4831
0.2108 0.2108 0.2108
0.7876 0.7876 0.7876
```

Output
SG = R3m (160)
ΔH_f (0 K) = -492 meV/atom
Raw total energy = -16.2 eV per cell
Fermi-level density of states = 2.1 states/eV per cell
M_tot = 0.000 μB/cell